# 1
Material: Cs2CaCdH6
Method: DFT, PBE-GGA
State: relaxed

* total magnetization: 0.00 μB per cell
* crystal system: trigonal
* total energy: -2.640 eV per atom

Cell and atoms, written as CIF:
```
data_Cs2CaCdH6
_chemical_formula_sum 'Cs2 Ca1 Cd1 H6'
_space_group_name_H-M_alt 'P -3 m 1'
_space_group_IT_number 164
_space_group_name_Hall '-P 3 2"'
_cell_length_a 6.4936
_cell_length_b 6.4936
_cell_length_c 5.9248
_cell_angle_alpha 90.00
_cell_angle_beta 90.00
_cell_angle_gamma 120.00
loop_
_atom_site_label
_atom_site_fract_x
_atom_site_fract_y
_atom_site_fract_z
_atom_site_occupancy
Cs1 0.3333 0.6667 0.1784 1
Ca1 0.0000 0.0000 0.5000 1
Cd1 0.0000 0.0000 0.0000 1
H1 0.1420 0.2839 0.7753 1
```

***

# 2
Material: Cs2CaCdI6
Method: DFT, PBE-GGA
State: relaxed

* total magnetization: 0.00 μB per cell
* E_form (uncorrected): -1253 meV/atom
* crystal system: cubic

Cell and atoms, written as CIF:
```
data_Cs2CaCdI6
_chemical_formula_sum 'Cs8 Ca4 Cd4 I24'
_space_group_name_H-M_alt 'F m -3 m'
_space_group_IT_number 225
_space_group_name_Hall '-F 4 2 3'
_cell_length_a 12.256
_cell_length_b 12.256
_cell_length_c 12.256
_cell_angle_alpha 90.00
_cell_angle_beta 90.00
_cell_angle_gamma 90.00
loop_
_atom_site_label
_atom_site_fract_x
_atom_site_fract_y
_atom_site_fract_z
_atom_site_occupancy
Cs1 0.250 0.250 0.250 1
Ca1 0.000 0.000 0.000 1
Cd1 0.000 0.000 0.500 1
I1 0.000 0.000 0.254 1
```

***

# 3
Material: Cs2CaCdI6
Method: DFT, PBE-GGA
State: relaxed

* total magnetization: 0.00 μB per cell
* E_form (uncorrected): -1289 meV/atom
* crystal system: trigonal

Cell and atoms, written as CIF:
```
data_Cs2CaCdI6
_chemical_formula_sum 'Cs2 Ca1 Cd1 I6'
_space_group_name_H-M_alt 'P -3 m 1'
_space_group_IT_number 164
_space_group_name_Hall '-P 3 2"'
_cell_length_a 8.5202
_cell_length_b 8.5202
_cell_length_c 7.4461
_cell_angle_alpha 90.00
_cell_angle_beta 90.00
_cell_angle_gamma 120.00
loop_
_atom_site_label
_atom_site_fract_x
_atom_site_fract_y
_atom_site_fract_z
_atom_site_occupancy
Cs1 0.3333 0.6667 0.2265 1
Ca1 0.0000 0.0000 0.5000 1
Cd1 0.0000 0.0000 0.0000 1
I1 0.1666 0.3333 0.7597 1
```

***

# 4
Material: CsCa2CdIr
Method: DFT, PBE-GGA
State: relaxed

* total magnetization: 0.00 μB per cell
* formation enthalpy at 0 K: -64 meV per atom
* crystal system: tetragonal

Cell and atoms, written as CIF:
```
data_CsCa2CdIr
_chemical_formula_sum 'Cs1 Ca2 Cd1 Ir1'
_space_group_name_H-M_alt 'P 4/m m m'
_space_group_IT_number 123
_space_group_name_Hall '-P 4 2'
_cell_length_a 5.611
_cell_length_b 5.611
_cell_length_c 5.566
_cell_angle_alpha 90.00
_cell_angle_beta 90.00
_cell_angle_gamma 90.00
loop_
_atom_site_label
_atom_site_fract_x
_atom_site_fract_y
_atom_site_fract_z
_atom_site_occupancy
Cs1 0.000 0.000 0.000 1
Ca1 0.000 0.500 0.500 1
Cd1 0.500 0.500 0.000 1
Ir1 0.500 0.500 0.500 1
```

***

# 5
Material: CsCaCd2Ir
Method: DFT, PBE-GGA
State: relaxed

* total magnetization: 0.00 μB per cell
* formation enthalpy at 0 K: -54 meV per atom
* crystal system: tetragonal

Cell and atoms, written as CIF:
```
data_CsCaCd2Ir
_chemical_formula_sum 'Cs1 Ca1 Cd2 Ir1'
_space_group_name_H-M_alt 'P 4/m m m'
_space_group_IT_number 123
_space_group_name_Hall '-P 4 2'
_cell_length_a 5.495
_cell_length_b 5.495
_cell_length_c 5.349
_cell_angle_alpha 90.00
_cell_angle_beta 90.00
_cell_angle_gamma 90.00
loop_
_atom_site_label
_atom_site_fract_x
_atom_site_fract_y
_atom_site_fract_z
_atom_site_occupancy
Cs1 0.000 0.000 0.000 1
Ca1 0.500 0.500 0.000 1
Cd1 0.000 0.500 0.500 1
Ir1 0.500 0.500 0.500 1
```

***

# 6
Material: CsK2CaCd
Method: DFT, PBE-GGA
State: relaxed

* total magnetization: 0.00 μB per cell
* formation enthalpy at 0 K: 64 meV per atom
* crystal system: tetragonal

Cell and atoms, written as CIF:
```
data_CsK2CaCd
_chemical_formula_sum 'Cs1 K2 Ca1 Cd1'
_space_group_name_H-M_alt 'P 4/m m m'
_space_group_IT_number 123
_space_group_name_Hall '-P 4 2'
_cell_length_a 6.988
_cell_length_b 6.988
_cell_length_c 6.346
_cell_angle_alpha 90.00
_cell_angle_beta 90.00
_cell_angle_gamma 90.00
loop_
_atom_site_label
_atom_site_fract_x
_atom_site_fract_y
_atom_site_fract_z
_atom_site_occupancy
Cs1 0.000 0.000 0.000 1
K1 0.000 0.500 0.500 1
Ca1 0.500 0.500 0.000 1
Cd1 0.500 0.500 0.500 1
```